# Nb3ZnTc, relaxed, DFT GGA-PBE
# density of states at the Fermi level	3.66	states/eV per cell
# energy	-7.320	eV per atom
# E_form	1.0501	eV/atom
# offset from the most stable computed form	0	meV per atom
data_Nb3ZnTc
_cell_length_a 4.8046
_cell_length_b 4.8046
_cell_length_c 4.8046
_cell_angle_alpha 90.00
_cell_angle_beta 90.00
_cell_angle_gamma 90.00
_symmetry_space_group_name_H-M 'P m -3 m'
_symmetry_Int_Tables_number 221
_symmetry_space_group_name_Hall '-P 4 2 3'
loop_
_atom_site_label
_atom_site_fract_x
_atom_site_fract_y
_atom_site_fract_z
_atom_site_occupancy
Nb1 0.0000 0.0000 0.5000 1
Zn1 0.5000 0.5000 0.5000 1
Tc1 0.0000 0.0000 0.0000 1

# NbZnTc3, relaxed, DFT GGA-PBE
# density of states at the Fermi level	5.91	states/eV per cell
# energy	-6.731	eV per atom
# E_form	1.7574	eV/atom
# offset from the most stable computed form	331	meV per atom
data_NbZnTc3
_cell_length_a 4.7342
_cell_length_b 4.7342
_cell_length_c 4.7342
_cell_angle_alpha 90.00
_cell_angle_beta 90.00
_cell_angle_gamma 90.00
_symmetry_space_group_name_H-M 'P m -3 m'
_symmetry_Int_Tables_number 221
_symmetry_space_group_name_Hall '-P 4 2 3'
loop_
_atom_site_label
_atom_site_fract_x
_atom_site_fract_y
_atom_site_fract_z
_atom_site_occupancy
Nb1 0.0000 0.0000 0.0000 1
Zn1 0.5000 0.5000 0.5000 1
Tc1 0.0000 0.0000 0.5000 1

# NbZnTc3, relaxed, DFT GGA-PBE
# density of states at the Fermi level	9.11	states/eV per cell
# energy	-7.062	eV per atom
# E_form	1.4262	eV/atom
# offset from the most stable computed form	0	meV per atom
data_NbZnTc3
_cell_length_a 4.4570
_cell_length_b 4.4570
_cell_length_c 4.4570
_cell_angle_alpha 90.00
_cell_angle_beta 90.00
_cell_angle_gamma 90.00
_symmetry_space_group_name_H-M 'P m -3 m'
_symmetry_Int_Tables_number 221
_symmetry_space_group_name_Hall '-P 4 2 3'
loop_
_atom_site_label
_atom_site_fract_x
_atom_site_fract_y
_atom_site_fract_z
_atom_site_occupancy
Nb1 0.0000 0.0000 0.0000 1
Zn1 0.5000 0.5000 0.5000 1
Tc1 0.0000 0.5000 0.5000 1

# NbZnTc, relaxed, DFT GGA-PBE
# density of states at the Fermi level	1.67	states/eV per cell
# energy	-7.360	eV per atom
# E_form	-0.1237	eV/atom
data_NbZnTc
_cell_length_a 3.3292
_cell_length_b 3.3292
_cell_length_c 8.5555
_cell_angle_alpha 90.00
_cell_angle_beta 90.00
_cell_angle_gamma 90.00
_symmetry_space_group_name_H-M 'I 4 m m'
_symmetry_Int_Tables_number 107
_symmetry_space_group_name_Hall 'I 4 -2'
loop_
_atom_site_label
_atom_site_fract_x
_atom_site_fract_y
_atom_site_fract_z
_atom_site_occupancy
Nb1 0.0000 0.0000 0.0000 1
Zn1 0.0000 0.0000 0.3236 1
Tc1 0.0000 0.0000 0.6557 1

# Nb2ZnTc, relaxed, DFT GGA-PBE
# density of states at the Fermi level	15.95	states/eV per cell
# energy	-7.520	eV per atom
# E_form	0.4253	eV/atom
data_Nb2ZnTc
_cell_length_a 7.2483
_cell_length_b 7.2483
_cell_length_c 5.4595
_cell_angle_alpha 90.00
_cell_angle_beta 90.00
_cell_angle_gamma 90.00
_symmetry_space_group_name_H-M 'I -4 2 d'
_symmetry_Int_Tables_number 122
_symmetry_space_group_name_Hall 'I -4 2bw'
loop_
_atom_site_label
_atom_site_fract_x
_atom_site_fract_y
_atom_site_fract_z
_atom_site_occupancy
Nb1 0.2212 0.7500 0.1250 1
Zn1 0.0000 0.0000 0.5000 1
Tc1 0.0000 0.0000 0.0000 1

# Nb2ZnTc, relaxed, DFT GGA-PBE
# density of states at the Fermi level	3.44	states/eV per cell
# energy	-8.021	eV per atom
# E_form	-0.0757	eV/atom
data_Nb2ZnTc
_cell_length_a 4.3353
_cell_length_b 4.3353
_cell_length_c 3.4659
_cell_angle_alpha 90.00
_cell_angle_beta 90.00
_cell_angle_gamma 90.00
_symmetry_space_group_name_H-M 'P 4/m m m'
_symmetry_Int_Tables_number 123
_symmetry_space_group_name_Hall '-P 4 2'
loop_
_atom_site_label
_atom_site_fract_x
_atom_site_fract_y
_atom_site_fract_z
_atom_site_occupancy
Nb1 0.0000 0.5000 0.0000 1
Zn1 0.0000 0.0000 0.5000 1
Tc1 0.5000 0.5000 0.5000 1

# ZrNbTc, relaxed, DFT GGA-PBE
# density of states at the Fermi level	7.33	states/eV per cell
# energy	-9.923	eV per atom
# E_form	-0.2621	eV/atom
# offset from the most stable computed form	11	meV per atom
data_ZrNbTc
_cell_length_a 5.3845
_cell_length_b 5.5888
_cell_length_c 7.5026
_cell_angle_alpha 90.00
_cell_angle_beta 90.00
_cell_angle_gamma 90.00
_symmetry_space_group_name_H-M 'I m m a'
_symmetry_Int_Tables_number 74
_symmetry_space_group_name_Hall '-I 2b 2'
loop_
_atom_site_label
_atom_site_fract_x
_atom_site_fract_y
_atom_site_fract_z
_atom_site_occupancy
Zr1 0.0000 0.2500 0.1199 1
Nb1 0.0000 0.0000 0.5000 1
Tc1 0.2500 0.2500 0.7500 1

# ZrNb3Tc4, relaxed, DFT GGA-PBE
# density of states at the Fermi level	3.40	states/eV per cell
# energy	-10.392	eV per atom
# E_form	-0.3640	eV/atom
data_ZrNb3Tc4
_cell_length_a 3.2150
_cell_length_b 4.5514
_cell_length_c 9.0940
_cell_angle_alpha 90.00
_cell_angle_beta 90.00
_cell_angle_gamma 90.00
_symmetry_space_group_name_H-M 'P m m m'
_symmetry_Int_Tables_number 47
loop_
_symmetry_equiv_pos_as_xyz
'x,y,z'
'-x,-y,-z'
'-x,-y,z'
'x,y,-z'
'x,-y,-z'
'-x,y,z'
'-x,y,-z'
'x,-y,z'
loop_
_atom_site_label
_atom_site_fract_x
_atom_site_fract_y
_atom_site_fract_z
_atom_site_occupancy
Zr1 0.0000 0.0000 0.0000 1
Nb1 0.0000 0.0000 0.5000 1
Nb2 0.0000 0.5000 0.2516 1
Tc1 0.5000 0.0000 0.2577 1
Tc2 0.5000 0.5000 0.0000 1
Tc3 0.5000 0.5000 0.5000 1

# ZrNbTc, relaxed, DFT GGA-PBE
# density of states at the Fermi level	7.77	states/eV per cell
# energy	-8.924	eV per atom
# E_form	0.7372	eV/atom
# offset from the most stable computed form	1010	meV per atom
data_ZrNbTc
_cell_length_a 2.7933
_cell_length_b 2.7933
_cell_length_c 15.1371
_cell_angle_alpha 90.00
_cell_angle_beta 90.00
_cell_angle_gamma 90.00
_symmetry_space_group_name_H-M 'I 4 m m'
_symmetry_Int_Tables_number 107
_symmetry_space_group_name_Hall 'I 4 -2'
loop_
_atom_site_label
_atom_site_fract_x
_atom_site_fract_y
_atom_site_fract_z
_atom_site_occupancy
Zr1 0.0000 0.0000 0.0000 1
Nb1 0.0000 0.0000 0.3439 1
Tc1 0.0000 0.0000 0.1765 1

# ZrNbTc, relaxed, DFT GGA-PBE
# density of states at the Fermi level	11.00	states/eV per cell
# energy	-9.844	eV per atom
# E_form	-0.1827	eV/atom
# offset from the most stable computed form	90	meV per atom
data_ZrNbTc
_cell_length_a 10.0645
_cell_length_b 4.5783
_cell_length_c 5.6599
_cell_angle_alpha 90.00
_cell_angle_beta 123.74
_cell_angle_gamma 90.00
_symmetry_space_group_name_H-M 'C 1 m 1'
_symmetry_Int_Tables_number 8
loop_
_symmetry_equiv_pos_as_xyz
'x,y,z'
'x,-y,z'
'x+1/2,y+1/2,z'
'x+1/2,-y+1/2,z'
loop_
_atom_site_label
_atom_site_fract_x
_atom_site_fract_y
_atom_site_fract_z
_atom_site_occupancy
Zr1 0.0000 0.0000 0.0000 1
Zr2 0.1918 0.5000 0.0171 1
Nb1 0.1596 0.5000 0.4885 1
Nb2 0.3459 0.0000 0.5074 1
Tc1 0.0105 0.0000 0.5095 1
Tc2 0.3435 0.0000 0.0014 1

# ZrNbTc, relaxed, DFT GGA-PBE
# density of states at the Fermi level	12.69	states/eV per cell
# energy	-9.788	eV per atom
# E_form	-0.1268	eV/atom
# offset from the most stable computed form	146	meV per atom
data_ZrNbTc
_cell_length_a 4.7854
_cell_length_b 4.4883
_cell_length_c 10.0390
_cell_angle_alpha 90.00
_cell_angle_beta 90.00
_cell_angle_gamma 90.00
_symmetry_space_group_name_H-M 'A m m 2'
_symmetry_Int_Tables_number 38
loop_
_symmetry_equiv_pos_as_xyz
'x,y,z'
'-x,-y,z'
'-x,y,z'
'x,-y,z'
'x,y+1/2,z+1/2'
'-x,-y+1/2,z+1/2'
'-x,y+1/2,z+1/2'
'x,-y+1/2,z+1/2'
loop_
_atom_site_label
_atom_site_fract_x
_atom_site_fract_y
_atom_site_fract_z
_atom_site_occupancy
Zr1 0.0000 0.0000 0.0000 1
Zr2 0.5000 0.0000 0.1779 1
Nb1 0.0000 0.0000 0.6826 1
Nb2 0.5000 0.0000 0.8511 1
Tc1 0.0000 0.0000 0.3389 1
Tc2 0.5000 0.0000 0.5044 1

# ZrNbTc, relaxed, DFT GGA-PBE
# density of states at the Fermi level	10.72	states/eV per cell
# energy	-9.892	eV per atom
# E_form	-0.2303	eV/atom
# offset from the most stable computed form	43	meV per atom
data_ZrNbTc
_cell_length_a 4.7194
_cell_length_b 3.2813
_cell_length_c 13.9978
_cell_angle_alpha 90.00
_cell_angle_beta 90.00
_cell_angle_gamma 90.00
_symmetry_space_group_name_H-M 'A m m 2'
_symmetry_Int_Tables_number 38
loop_
_symmetry_equiv_pos_as_xyz
'x,y,z'
'-x,-y,z'
'-x,y,z'
'x,-y,z'
'x,y+1/2,z+1/2'
'-x,-y+1/2,z+1/2'
'-x,y+1/2,z+1/2'
'x,-y+1/2,z+1/2'
loop_
_atom_site_label
_atom_site_fract_x
_atom_site_fract_y
_atom_site_fract_z
_atom_site_occupancy
Zr1 0.0000 0.0000 0.0000 1
Zr2 0.0000 0.0000 0.3139 1
Nb1 0.5000 0.0000 0.1546 1
Nb2 0.5000 0.0000 0.8343 1
Tc1 0.0000 0.0000 0.6573 1
Tc2 0.5000 0.0000 0.4934 1